Below is an optimized crystal structure of SmCdAg2, with properties calculated at the PBE-GGA level.

Output
- magnetic moment (μB/cell) = 0.0
- space group = P4/mmm (123)
- formation energy (eV/atom) = -0.17
- energy above the most stable polymorph in this dataset (eV/atom) = 0.0947
- E_tot (eV/atom) = -3.005
- D(E_F) (states/eV/atom) = 0.75

Unit cell a=3.581 b=3.581 c=7.041 alpha=90.00 beta=90.00 gamma=90.00
Fractional coordinates of all 4 atoms:
Sm 0.000 0.000 0.000
Cd 0.000 0.000 0.500
Ag 0.500 0.500 0.274
Ag 0.500 0.500 0.726